This record from the Alexandria database describes a geometry-optimized Cu3I2Cl2 structure. The functional is GGA-PBE.

Unit cell a=3.6809 b=7.2086 c=7.3067 alpha=98.48 beta=90.13 gamma=104.69
Element x y z (fractional)
Cu 0.0000 0.0000 0.0000
Cu 0.2713 0.5426 0.8122
Cu 0.7287 0.4574 0.1878
I 0.1079 0.2138 0.3002
I 0.8921 0.7862 0.6998
Cl 0.3368 0.6739 0.1652
Cl 0.6632 0.3261 0.8348

calculated density = 4.6 g cm⁻³
uncorrected formation energy = -217 meV per atom
energy relative to the lowest polymorph listed for this composition = 0.082 eV per atom
calculated volume = 26.48 A^3/atom